DFT (PBE) results for a geometry-optimized Mg2WC2 structure.

Unit cell a=3.481 b=3.481 c=5.279 alpha=70.75 beta=70.75 gamma=90.00
Fractional positions:
Mg  0.250  0.750  0.500
Mg  0.750  0.250  0.500
W  0.000  0.000  0.000
C  0.577  0.577  0.845
C  0.423  0.423  0.155

Computed properties:
Energy, eV/atom: -5.89
Total moment, μB/atom: 0.00
E above lowest polymorph, eV/atom: 0.482